Compound: SrTb2TcO8
Source: the Alexandria database
Functional: PBE
Structure: relaxed

Cell lengths 4.371, 5.170, 7.004 Å; angles 89.59, 73.42, 87.93 degrees
Positions (direct):
Sr  0.000  0.000  0.000
Tb  0.393  0.516  0.287
Tb  0.607  0.484  0.713
Tc  0.000  0.000  0.500
O  0.171  0.298  0.595
O  0.222  0.775  0.625
O  0.237  0.499  0.007
O  0.343  0.979  0.254
O  0.657  0.021  0.746
O  0.763  0.501  0.993
O  0.778  0.225  0.375
O  0.829  0.702  0.405

Fermi-level density of states: 0.161 states/eV/atom
E_tot: -0.54597 Ry/atom
space-group type: P-1
magnetization: 0.2 μB/f.u.

=====

Compound: SrTbTc2O8
Source: the Alexandria database
Functional: PBE
Structure: relaxed

Cell lengths 5.918, 5.918, 7.188 Å; angles 90.00, 90.00, 120.00 degrees
Positions (direct):
Sr  0.000  0.000  0.000
Tb  0.000  0.000  0.500
Tc  0.333  0.667  0.791
Tc  0.667  0.333  0.209
O  0.163  0.327  0.713
O  0.163  0.837  0.713
O  0.327  0.163  0.287
O  0.333  0.667  0.036
O  0.667  0.333  0.964
O  0.673  0.837  0.713
O  0.837  0.163  0.287
O  0.837  0.673  0.287

Fermi-level density of states: 0.701 states/eV/atom
E_tot: -0.55917 Ry/atom
space-group type: P-3m1
magnetization: 3.0 μB/f.u.

=====

Compound: SrTbTe2O8
Source: the Alexandria database
Functional: PBE
Structure: relaxed

Cell lengths 6.989, 6.989, 6.989 Å; angles 134.41, 134.41, 66.45 degrees
Positions (direct):
Sr  0.000  0.000  0.000
Tb  0.250  0.750  0.500
Te  0.500  0.500  0.000
Te  0.750  0.250  0.500
O  0.004  0.090  0.432
O  0.251  0.664  0.102
O  0.336  0.438  0.588
O  0.428  0.996  0.086
O  0.562  0.150  0.898
O  0.658  0.572  0.568
O  0.850  0.749  0.412
O  0.910  0.342  0.914

Fermi-level density of states: 0.241 states/eV/atom
E_tot: -0.45484 Ry/atom
space-group type: I-4
magnetization: 0.8 μB/f.u.

=====

Compound: SrTbTeO6
Source: the Alexandria database
Functional: PBE
Structure: relaxed

Cell lengths 5.732, 5.732, 10.178 Å; angles 90.00, 90.00, 120.00 degrees
Positions (direct):
Sr  0.000  0.000  0.000
Sr  0.000  0.000  0.500
Tb  0.333  0.667  0.250
Tb  0.667  0.333  0.750
Te  0.333  0.667  0.750
Te  0.667  0.333  0.250
O  0.045  0.390  0.643
O  0.045  0.655  0.857
O  0.345  0.390  0.857
O  0.345  0.955  0.643
O  0.390  0.045  0.143
O  0.390  0.345  0.357
O  0.610  0.655  0.643
O  0.610  0.955  0.857
O  0.655  0.045  0.357
O  0.655  0.610  0.143
O  0.955  0.345  0.143
O  0.955  0.610  0.357

Fermi-level density of states: 0.666 states/eV/atom
E_tot: -0.47278 Ry/atom
space-group type: P-31c
magnetization: 1.1 μB/f.u.

=====

Compound: Sr3TbTi2O9
Source: the Alexandria database
Functional: PBE
Structure: relaxed

Cell lengths 5.753, 5.753, 7.325 Å; angles 90.00, 90.00, 120.00 degrees
Positions (direct):
Sr  0.000  0.000  0.000
Sr  0.333  0.667  0.717
Sr  0.667  0.333  0.283
Tb  0.000  0.000  0.500
Ti  0.333  0.667  0.171
Ti  0.667  0.333  0.829
O  0.000  0.500  0.000
O  0.173  0.346  0.308
O  0.173  0.827  0.308
O  0.346  0.173  0.692
O  0.500  0.000  0.000
O  0.500  0.500  0.000
O  0.654  0.827  0.308
O  0.827  0.173  0.692
O  0.827  0.654  0.692

Fermi-level density of states: 0.543 states/eV/atom
E_tot: -0.56198 Ry/atom
space-group type: P-3m1
magnetization: 0.8 μB/f.u.

=====

Compound: Sr4TbTi3O12
Source: the Alexandria database
Functional: PBE
Structure: relaxed

Cell lengths 7.045, 7.045, 7.045 Å; angles 109.47, 109.47, 109.47 degrees
Positions (direct):
Sr  0.000  0.000  0.500
Sr  0.000  0.500  0.000
Sr  0.500  0.000  0.000
Sr  0.500  0.500  0.500
Tb  0.000  0.000  0.000
Ti  0.000  0.500  0.500
Ti  0.500  0.000  0.500
Ti  0.500  0.500  0.000
O  0.000  0.268  0.268
O  0.000  0.732  0.732
O  0.250  0.500  0.750
O  0.250  0.750  0.500
O  0.268  0.000  0.268
O  0.268  0.268  0.000
O  0.500  0.250  0.750
O  0.500  0.750  0.250
O  0.732  0.000  0.732
O  0.732  0.732  0.000
O  0.750  0.250  0.500
O  0.750  0.500  0.250

Fermi-level density of states: 0.614 states/eV/atom
E_tot: -0.56714 Ry/atom
space-group type: Im-3m
magnetization: 0.3 μB/f.u.

=====

Result set for formation energy (no corrections): -2347 -2049 -1833 -2077 -2973 -2989 meV/atom, one per record in the order listed.